No. 1
Density functional theory data (PBEsol) for a relaxed structure of CuSeBr2Cl.

For the raw formation energy, the calculation gives 297 meV/atom. As for the size of the total moment: 0.00 μB per cell.

The structure belongs to space group P4/mmm (No. 123); the cell edges are 4.763, 4.763 and 4.910 Å and the angles 90.00°, 90.00° and 90.00°. The inequivalent atoms are Cu at (0.000, 0.000, 0.000), Se at (0.000, 0.000, 0.500), Br at (0.000, 0.500, 0.000) and Cl at (0.500, 0.500, 0.500).

=====

No. 2
Density functional theory data (PBEsol) for a relaxed structure of K2MgFeAs.

The energy relative to the elements comes out at 4.41 eV per formula unit. As for the size of the total moment: 3.28 μB per cell.

The structure belongs to space group P4/mmm (No. 123); the cell edges are 6.638, 6.638 and 4.682 Å and the angles 90.00°, 90.00° and 90.00°. The inequivalent atoms are K at (0.000, 0.500, 0.000), Mg at (0.000, 0.000, 0.000), Fe at (0.500, 0.500, 0.500) and As at (0.000, 0.000, 0.500).